Entry from Alexandria via LeMat-Bulk: a relaxed In2ReHg crystal (GGA-PBE).

Cell: 2.938 5.265 5.265 Å, 90.00 90.00 90.00°
Sites, in units of the cell vectors:
Hg 0.500 0.000 0.500
In 0.000 0.500 0.500
In 0.000 0.000 0.000
Re 0.500 0.500 0.000

Symmetry: P4/mmm, No. 123
DOS at the Fermi energy (states/eV per atom): 0.609
Total magnetic moment (μB per cell): 0.00
Crystal system: tetragonal
E (eV/atom): -3.97


Entry from Alexandria via LeMat-Bulk: a relaxed Hf4FeSb2 crystal (GGA-PBE).

Cell: 3.760 5.837 7.521 Å, 107.53 90.00 90.00°
Sites, in units of the cell vectors:
Sb 0.500 0.174 0.491
Hf 0.500 0.101 0.868
Fe 0.000 0.929 0.000
Hf 0.000 0.336 0.232
Hf 0.000 0.522 0.768
Sb 0.500 0.684 0.509
Hf 0.500 0.757 0.132

Symmetry: P2/m, No. 10
DOS at the Fermi energy (states/eV per atom): 0.957
Total magnetic moment (μB per cell): 0.00
Crystal system: monoclinic
E (eV/atom): -8.18


Entry from Alexandria via LeMat-Bulk: a relaxed NdTmMgSc crystal (GGA-PBE).

Cell: 3.560 3.558 8.979 Å, 90.00 90.01 90.00°
Sites, in units of the cell vectors:
Sc 0.607 0.930 0.848
Nd 0.107 0.430 0.590
Tm 0.108 0.430 0.092
Mg 0.608 0.929 0.331

Symmetry: P4mm, No. 99
DOS at the Fermi energy (states/eV per atom): 1.673
Total magnetic moment (μB per cell): 0.01
Crystal system: tetragonal
E (eV/atom): -4.29
Polymorph energy (0 for the lowest one) (meV per atom): 0


Entry from Alexandria via LeMat-Bulk: a relaxed La2Pr4HoMg crystal (GGA-PBE).

Cell: 5.104 5.112 11.612 Å, 63.90 90.00 90.00°
Sites, in units of the cell vectors:
Pr 0.500 0.749 0.252
Pr 0.000 0.249 0.252
Pr 0.500 0.251 0.748
Mg 0.000 0.500 0.500
Pr 0.000 0.751 0.748
Ho 0.500 0.500 0.000
La 0.500 0.000 0.500
La 0.000 0.000 0.000

Symmetry: P4/mmm, No. 123
DOS at the Fermi energy (states/eV per atom): 1.461
Total magnetic moment (μB per cell): 0.00
Crystal system: tetragonal
E (eV/atom): -4.39


Entry from Alexandria via LeMat-Bulk: a relaxed CsDyFeCl6 crystal (GGA-PBE).

Cell: 6.747 6.749 7.815 Å, 90.10 90.05 59.99°
Site moments in Bohr magnetons follow the coordinates.
Sites, in units of the cell vectors:
Cs 0.000 0.000 0.000  0.00
Cl 0.632 0.385 0.688  0.04
Cl 0.983 0.628 0.691  0.04
Fe 0.666 0.667 0.500  3.50
Cl 0.983 0.389 0.309  0.04
Dy 0.332 0.334 0.500  0.01
Cl 0.386 0.631 0.311  0.04
Cl 0.386 0.984 0.689  0.04
Cl 0.632 0.983 0.312  0.04

Symmetry: C2, No. 5
DOS at the Fermi energy (states/eV per atom): 0.738
Total magnetic moment (μB per cell): 4.00
Crystal system: monoclinic
E (eV/atom): -4.49


Entry from Alexandria via LeMat-Bulk: a relaxed ReIrC2 crystal (GGA-PBE).

Cell: 3.840 3.840 3.840 Å, 60.00 60.00 60.00°
Sites, in units of the cell vectors:
Re 0.000 0.000 0.000
C 0.250 0.250 0.250
C 0.750 0.750 0.750
Ir 0.500 0.500 0.500

Symmetry: Fm-3m, No. 225
DOS at the Fermi energy (states/eV per atom): 0.517
Total magnetic moment (μB per cell): 0.00
Crystal system: cubic
E (eV/atom): -8.57
Polymorph energy (0 for the lowest one) (meV per atom): 747